This record from Alexandria via LeMat-Bulk describes an optimized crystal structure of RbBaBiW2. The functional is GGA-PBEsol.

Cell: 5.193 5.193 6.371 Å, 90.00 90.00 90.00°
Atoms (fractional coordinates):
Rb1 0.500 0.500 0.500
Ba1 0.000 0.000 0.500
Bi1 0.000 0.000 0.000
W1 0.500 0.000 0.000
W2 0.000 0.500 0.000

Calculated values
The calculation puts the calculated volume at 171.8 Å³/f.u. For the calculated formation energy, the calculation gives 2.04 eV/atom. The total magnetic moment comes out at 0.0 μB per formula unit.